Here is a geometry-optimized RbSrW2O8 structure from Alexandria via LeMat-Bulk. Energies are from PBE with a Hubbard U.

Cell: 6.764 6.764 6.764 Å, 106.60 106.60 115.37°
Element x y z (fractional)
1 O 0.485 0.659 0.826
2 O 0.792 0.106 0.685
3 O 0.894 0.579 0.685
4 O 0.421 0.106 0.315
5 O 0.894 0.208 0.315
6 O 0.341 0.515 0.174
7 O 0.341 0.167 0.826
8 O 0.833 0.659 0.174
9 Sr 0.000 0.000 0.000
10 W 0.750 0.250 0.500
11 W 0.500 0.500 0.000
12 Rb 0.250 0.750 0.500

Results
Its space-group type is I-4m2, No. 119. As for the raw total energy: -6.72 eV/atom.